Run A
Y2ZnIn2 | PBE-GGA | relaxed

The structure in POSCAR format:
```
Y2ZnIn2
1.0
-3.5141 -0.1640 -0.3711
-0.0920 -3.8423 2.5696
-0.7964 6.0538 4.8646
Y Zn In
2 1 2
Direct
0.0000 0.6915 0.3831 Y
0.0000 0.9251 0.8502 Y
0.5000 0.1097 0.2195 Zn
0.5000 0.3039 0.6078 In
0.5000 0.5118 0.0237 In
```

Properties
As for the density of states at the Fermi level: 3.917 states/eV/cell. The size of the total moment comes out at 0.0 Bohr magnetons per cell.

***

Run B
Y2ZnIn2 | PBE-GGA | relaxed

The structure in POSCAR format:
```
Y2ZnIn2
1.0
2.4745 -7.0929 -0.2676
4.2864 -3.4343 5.1319
-6.1605 4.2322 -0.8004
Y Zn In
2 1 2
Direct
0.2500 0.7500 0.5000 Y
0.7500 0.2500 0.5000 Y
0.0000 0.0000 0.0000 Zn
0.5990 0.5990 0.0000 In
0.4010 0.4010 0.0000 In
```

Properties
As for the density of states at the Fermi level: 4.666 states/eV/cell. The size of the total moment comes out at 0.8 Bohr magnetons per cell.

***

So which one is most stable? That would be run A, about 697 meV/atom below the next structure.

***

Run A
Y2ZnIn2 | PBE-GGA | relaxed

The structure in POSCAR format:
```
Y2ZnIn2
1.0
-0.0837 2.9243 -3.5881
0.2956 -2.8394 -5.3077
-9.8066 1.4387 -1.5853
Y Zn In
4 2 4
Direct
0.6831 0.3005 0.3332 Y
0.9184 0.2612 0.9019 Y
0.3169 0.6995 0.6668 Y
0.0816 0.7388 0.0981 Y
0.6115 0.1103 0.6667 Zn
0.3885 0.8897 0.3333 Zn
0.0804 0.2722 0.5671 In
0.6484 0.8231 0.8802 In
0.9196 0.7278 0.4329 In
0.3516 0.1769 0.1198 In
```

Properties
As for the density of states at the Fermi level: 7.151 states/eV/cell. The size of the total moment comes out at 0.0 Bohr magnetons per cell.

***

Run B
Y2ZnIn2 | PBE-GGA | relaxed

The structure in POSCAR format:
```
Y2ZnIn2
1.0
-6.7443 -1.2181 -2.3701
1.9678 -6.6258 -2.1940
-1.1974 -1.7881 4.3262
Y Zn In
4 2 4
Direct
0.1678 0.6678 0.5000 Y
0.6678 0.8322 0.5000 Y
0.8322 0.3322 0.5000 Y
0.3322 0.1678 0.5000 Y
0.0000 0.0000 0.0000 Zn
0.5000 0.5000 0.0000 Zn
0.3585 0.8585 0.0000 In
0.8585 0.6415 0.0000 In
0.6415 0.1415 0.0000 In
0.1415 0.3585 0.0000 In
```

Properties
As for the density of states at the Fermi level: 3.566 states/eV/cell. The size of the total moment comes out at 0.0 Bohr magnetons per cell.

***

Run C
Y2ZnIn2 | PBE-GGA | relaxed

The structure in POSCAR format:
```
Y2ZnIn2
1.0
-2.1155 -3.1171 -6.9451
7.1209 -3.3586 -0.6617
-1.5131 -3.6188 2.0851
Y Zn In
4 2 4
Direct
0.3424 0.8424 0.0000 Y
0.8424 0.6576 0.0000 Y
0.6576 0.1576 0.0000 Y
0.1576 0.3424 0.0000 Y
0.0000 0.0000 0.0000 Zn
0.5000 0.5000 0.0000 Zn
0.1450 0.6450 0.5000 In
0.6450 0.8550 0.5000 In
0.8550 0.3550 0.5000 In
0.3550 0.1450 0.5000 In
```

Properties
As for the density of states at the Fermi level: 4.660 states/eV/cell. The size of the total moment comes out at 0.0 Bohr magnetons per cell.

***

So which one is most stable? That would be run A, about 63 meV/atom below the next structure.